DyThMnRu | PBE | optimized geometry

Properties
Its crystal system is cubic. As for the energy relative to the elements: -0.08 eV/atom. The calculation puts the magnetic moment at 10.2 μB per cell. As for the total energy: -123.22 eV per cell.

Structure (CIF):
```
data_DyThMnRu
_chemical_formula_sum 'Dy4 Th4 Mn4 Ru4'
_space_group_name_H-M_alt 'F -4 3 m'
_space_group_IT_number 216
_space_group_name_Hall 'F -4 2 3'
_cell_length_a 6.9940
_cell_length_b 6.9940
_cell_length_c 6.9940
_cell_angle_alpha 90.00
_cell_angle_beta 90.00
_cell_angle_gamma 90.00
loop_
_atom_site_label
_atom_site_type_symbol
_atom_site_fract_x
_atom_site_fract_y
_atom_site_fract_z
_atom_site_occupancy
Dy1 Dy 0.0000 0.0000 0.0000 1
Th1 Th 0.0000 0.0000 0.5000 1
Mn1 Mn 0.2500 0.2500 0.2500 1
Ru1 Ru 0.2500 0.2500 0.7500 1
```



Dy3Mn3S8 | PBE | optimized geometry

Properties
Its crystal system is trigonal. The calculation puts the magnetic moment at 42.0 μB per cell. As for the total energy: -278.45 eV per cell.

Structure (CIF):
```
data_Dy3Mn3S8
_chemical_formula_sum 'Dy9 Mn9 S24'
_space_group_name_H-M_alt 'R -3 m'
_space_group_IT_number 166
_space_group_name_Hall '-R 3 2"'
_cell_length_a 7.7525
_cell_length_b 7.7525
_cell_length_c 18.5714
_cell_angle_alpha 90.00
_cell_angle_beta 90.00
_cell_angle_gamma 120.00
loop_
_atom_site_label
_atom_site_type_symbol
_atom_site_fract_x
_atom_site_fract_y
_atom_site_fract_z
_atom_site_occupancy
Dy1 Dy 0.0000 0.5000 0.0000 1
Mn1 Mn 0.0000 0.0000 0.1233 1
Mn2 Mn 0.0000 0.0000 0.5000 1
S1 S 0.0000 0.0000 0.2519 1
S2 S 0.0180 0.5090 0.2445 1
```